# CeTiMoO6 (PBE+U, optimized geometry)
# DFT total energy = -8.27 eV/atom
# M_tot = 2.00 μB per formula unit
data_CeTiMoO6
_cell_length_a 4.849
_cell_length_b 4.849
_cell_length_c 9.796
_cell_angle_alpha 90.00
_cell_angle_beta 90.00
_cell_angle_gamma 90.00
_space_group_name_H-M_alt 'P 42 n m'
_space_group_IT_number 102
loop_
_space_group_symop_operation_xyz
'x,y,z'
'-y+1/2,x+1/2,z+1/2'
'-x,-y,z'
'y+1/2,-x+1/2,z+1/2'
'-x+1/2,y+1/2,z+1/2'
'y,x,z'
'x+1/2,-y+1/2,z+1/2'
'-y,-x,z'
loop_
_atom_site_label
_atom_site_type_symbol
_atom_site_fract_x
_atom_site_fract_y
_atom_site_fract_z
_atom_site_occupancy
Ce1 Ce 0.000 0.000 0.000 1
Ti1 Ti 0.000 0.000 0.336 1
Mo1 Mo 0.000 0.000 0.671 1
O1 O 0.179 0.179 0.497 1
O2 O 0.202 0.202 0.187 1
O3 O 0.212 0.212 0.822 1